[1]
DFT (PBE) results for ScV2Pd after structural relaxation.

Unit cell a=5.784 b=5.784 c=5.784 alpha=101.21 beta=101.21 gamma=127.67
Fractional coordinates of all 8 atoms:
Sc 0.000 0.000 0.000
Sc 0.750 0.250 0.500
V 0.154 0.625 0.029
V 0.375 0.404 0.529
V 0.596 0.125 0.971
V 0.875 0.846 0.471
Pd 0.250 0.750 0.500
Pd 0.500 0.500 0.000

Output
DOS at the Fermi energy in states/eV per cell: 11.38
SG: No. 122
Excess energy over the best structure of this formula in the dataset in eV/atom: 0.1480
E in eV per cell: -56.784
M_tot in μB/atom: 0.00

[2]
DFT (PBE) results for Y3Co4Ni2 after structural relaxation.

Unit cell a=3.895 b=3.895 c=23.655 alpha=90.00 beta=90.00 gamma=120.00
Fractional coordinates of all 18 atoms:
Y 0.000 0.000 0.084
Y 0.000 0.000 0.251
Y 0.000 0.000 0.415
Y 0.000 0.000 0.585
Y 0.000 0.000 0.749
Y 0.000 0.000 0.916
Co 0.333 0.667 0.166
Co 0.333 0.667 0.333
Co 0.333 0.667 0.500
Co 0.333 0.667 0.667
Co 0.333 0.667 0.834
Co 0.667 0.333 0.166
Co 0.667 0.333 0.500
Co 0.667 0.333 0.834
Ni 0.333 0.667 0.000
Ni 0.667 0.333 0.000
Ni 0.667 0.333 0.333
Ni 0.667 0.333 0.667

Output
DOS at the Fermi energy in states/eV per cell: 15.93
SG: No. 187
E in eV per cell: -122.886
M_tot in μB/atom: 0.19

[3]
DFT (PBE) results for NaLaDy after structural relaxation.

Unit cell a=3.609 b=3.609 c=16.403 alpha=90.00 beta=90.00 gamma=90.00
Fractional coordinates of all 6 atoms:
Na 0.250 0.250 0.089
Na 0.750 0.750 0.911
La 0.250 0.250 0.413
La 0.750 0.750 0.587
Dy 0.250 0.250 0.741
Dy 0.750 0.750 0.259

Output
DOS at the Fermi energy in states/eV per cell: 8.17
SG: No. 129
Excess energy over the best structure of this formula in the dataset in eV/atom: 0.0000
E in eV per cell: -21.037
M_tot in μB/atom: 0.05

[4]
DFT (PBE) results for Mg5Os after structural relaxation.

Unit cell a=5.437 b=5.437 c=5.437 alpha=60.00 beta=60.00 gamma=60.00
Fractional coordinates of all 6 atoms:
Mg 0.000 0.000 0.000
Mg 0.376 0.376 0.376
Mg 0.376 0.376 0.872
Mg 0.376 0.872 0.376
Mg 0.872 0.376 0.376
Os 0.750 0.750 0.750

Output
DOS at the Fermi energy in states/eV per cell: 4.99
SG: No. 216
Excess energy over the best structure of this formula in the dataset in eV/atom: 0.3271
E in eV per cell: -16.594
M_tot in μB/atom: 0.00

[5]
DFT (PBE) results for Be2CoHOs after structural relaxation.

Unit cell a=3.762 b=3.762 c=3.032 alpha=90.00 beta=90.00 gamma=90.00
Fractional coordinates of all 5 atoms:
Be 0.000 0.500 0.000
Be 0.500 0.000 0.000
Co 0.000 0.000 0.500
H 0.000 0.000 0.000
Os 0.500 0.500 0.500

Output
DOS at the Fermi energy in states/eV per cell: 3.56
SG: No. 123
E in eV per cell: -29.178
M_tot in μB/atom: 0.13

[6]
DFT (PBE) results for Cr2ReRh after structural relaxation.

Unit cell a=2.623 b=4.026 c=5.144 alpha=90.00 beta=103.07 gamma=90.00
Fractional coordinates of all 4 atoms:
Cr 0.000 0.000 0.000
Cr 0.322 0.500 0.218
Re 0.859 0.000 0.472
Rh 0.488 0.500 0.745

Output
DOS at the Fermi energy in states/eV per cell: 4.72
SG: No. 6
E in eV per cell: -38.746
M_tot in μB/atom: 0.00

[7]
DFT (PBE) results for NaBr after structural relaxation.

Unit cell a=4.683 b=4.683 c=4.683 alpha=60.00 beta=60.00 gamma=60.00
Fractional coordinates of all 2 atoms:
Na 0.000 0.000 0.000
Br 0.750 0.750 0.750

Output
DOS at the Fermi energy in states/eV per cell: 0.00
SG: No. 216
Uncorrected formation energy in eV per atom: -1.500
E in eV per cell: -5.992
M_tot in μB/atom: 0.00

[8]
DFT (PBE) results for SrYMg2Tl after structural relaxation.

Unit cell a=5.917 b=5.917 c=6.110 alpha=90.00 beta=90.00 gamma=90.00
Fractional coordinates of all 5 atoms:
Sr 0.000 0.000 0.000
Y 0.000 0.000 0.500
Mg 0.000 0.500 0.000
Mg 0.500 0.000 0.000
Tl 0.500 0.500 0.500

Output
DOS at the Fermi energy in states/eV per cell: 7.80
SG: No. 123
E in eV per cell: -8.441
M_tot in μB/atom: 0.00